The following is a DFT calculation (PBE) of a relaxed ScNbRe4 crystal.

Unit cell a=5.241 b=5.241 c=5.241 alpha=60.00 beta=60.00 gamma=60.00
Positions (direct):
Sc  0.000  0.000  0.000
Re  0.625  0.625  0.125
Re  0.625  0.125  0.625
Re  0.625  0.625  0.625
Re  0.125  0.625  0.625
Nb  0.250  0.250  0.250

## Properties
The formation energy is -16.8 kJ per mole of atoms. The value obtained for the theoretical density is 14.397 Mg/m³. As for the total moment: 0.000 μB per cell.